Entry 1:
First-principles (PBE) data for a geometry-optimized CePrBiTe structure, as listed in Alexandria via LeMat-Bulk.

The space group is F-43m (No. 216) and the conventional cell measures 7.868, 7.868 and 7.868 Å, with angles of 90.00, 90.00 and 90.00 degrees. The asymmetric unit holds Ce at (0.000, 0.000, 0.000), Pr at (0.000, 0.000, 0.500), Bi at (0.250, 0.250, 0.250) and Te at (0.250, 0.250, 0.750).

Its uncorrected formation energy is -3.94 eV/f.u. The total energy comes out at -5.42 eV/atom. The value obtained for the total magnetization is 0.48 μB/atom. As for the density of states at the Fermi level: 22.4 states/eV/cell.

Entry 2:
First-principles (PBE) data for a geometry-optimized DyMg2UN4 structure, as listed in Alexandria via LeMat-Bulk.

The space group is P2/m (No. 10) and the conventional cell measures 5.557, 3.419 and 5.858 Å, with angles of 90.00, 109.82 and 90.00 degrees. The asymmetric unit holds Dy at (0.000, 0.000, 0.000), Mg at (0.500, 0.000, 0.500), Mg at (0.500, 0.500, 0.000), U at (0.000, 0.500, 0.500), N at (0.236, 0.500, 0.267) and N at (0.245, 0.000, 0.738).

Its uncorrected formation energy is -9.65 eV/f.u. The total energy comes out at -7.75 eV/atom. The value obtained for the total magnetization is 0.13 μB/atom. As for the density of states at the Fermi level: 2.9 states/eV/cell.

Entry 3:
First-principles (PBE) data for a geometry-optimized InCu2I structure, as listed in Alexandria via LeMat-Bulk.

The space group is Fm-3m (No. 225) and the conventional cell measures 7.014, 7.014 and 7.014 Å, with angles of 90.00, 90.00 and 90.00 degrees. The asymmetric unit holds In at (0.000, 0.000, 0.000), Cu at (0.250, 0.250, 0.250) and I at (0.000, 0.000, 0.500).

Its uncorrected formation energy is 2.15 eV/f.u. The total energy comes out at -2.58 eV/atom. The value obtained for the total magnetization is 0.00 μB/atom. As for the density of states at the Fermi level: 3.6 states/eV/cell.

Entry 4:
First-principles (PBE) data for a geometry-optimized Ce2YGeN5 structure, as listed in Alexandria via LeMat-Bulk.

The space group is Cmc2_1 (No. 36) and the conventional cell measures 3.342, 15.910 and 9.603 Å, with angles of 90.00, 90.00 and 90.00 degrees. The asymmetric unit holds Ce at (0.000, 0.103, 0.000), Ce at (0.000, 0.112, 0.619), Y at (0.000, 0.216, 0.327), Ge at (0.000, 0.448, 0.777), N at (0.000, 0.038, 0.374), N at (0.000, 0.311, 0.006), N at (0.000, 0.341, 0.684), N at (0.000, 0.360, 0.343) and N at (0.000, 0.494, 0.107).

Its uncorrected formation energy is -8.87 eV/f.u. The total energy comes out at -8.16 eV/atom. The value obtained for the total magnetization is 0.00 μB/atom.

Entry 5:
First-principles (PBE) data for a geometry-optimized Nd3Y7Ho structure, as listed in Alexandria via LeMat-Bulk.

The space group is P3m1 (No. 156) and the conventional cell measures 7.1291, 7.1291 and 8.7079 Å, with angles of 90.00, 90.00 and 120.00 degrees. The asymmetric unit holds Nd at (0.0006, 0.5003, 0.0000), Y at (0.1677, 0.3353, 0.6623), Y at (0.3348, 0.1674, 0.3357), Y at (0.6667, 0.3333, 0.6620) and Ho at (0.3333, 0.6667, 0.3371).

The calculation puts the formation energy at 1.96 eV per formula unit. The total energy comes out at -5.65 eV/atom. The value obtained for the total magnetization is 0.00 μB/atom. As for the density of states at the Fermi level: 17.8 states/eV/cell.

Entry 6:
First-principles (PBE) data for a geometry-optimized Y3Ni7Rh2 structure, as listed in Alexandria via LeMat-Bulk.

The space group is R-3m (No. 166, hexagonal axes) and the conventional cell measures 5.0381, 5.0381 and 24.9574 Å, with angles of 90.00, 90.00 and 120.00 degrees. The asymmetric unit holds Y at (0.0000, 0.0000, 0.0000), Y at (0.0000, 0.0000, 0.1390), Ni at (0.0000, 0.0000, 0.5000), Ni at (0.0006, 0.5003, 0.9153) and Rh at (0.0000, 0.0000, 0.3325).

The calculation puts the formation energy at -4.92 eV per formula unit. The total energy comes out at -6.62 eV/atom. The value obtained for the total magnetization is 0.14 μB/atom. As for the density of states at the Fermi level: 47.6 states/eV/cell.

Entry 7:
First-principles (PBE) data for a geometry-optimized La2Nb2Zn structure, as listed in Alexandria via LeMat-Bulk.

The space group is P4/mbm (No. 127) and the conventional cell measures 7.197, 7.197 and 4.742 Å, with angles of 90.00, 90.00 and 90.00 degrees. The asymmetric unit holds La at (0.180, 0.320, 0.000), Nb at (0.132, 0.632, 0.500) and Zn at (0.000, 0.000, 0.500).

The calculation puts the formation energy at 1.32 eV per formula unit. The total energy comes out at -5.99 eV/atom. The value obtained for the total magnetization is 0.00 μB/atom. As for the density of states at the Fermi level: 17.2 states/eV/cell.

Entry 8:
First-principles (PBE) data for a geometry-optimized Mg2Zn12Ag structure, as listed in Alexandria via LeMat-Bulk.

The space group is P4/nbm (No. 125, origin choice 2) and the conventional cell measures 5.286, 5.286 and 18.503 Å, with angles of 90.00, 90.00 and 90.00 degrees. The asymmetric unit holds Mg at (0.250, 0.750, 0.228), Zn at (0.001, 0.501, 0.392), Zn at (0.077, 0.577, 0.937), Zn at (0.250, 0.250, 0.157), Zn at (0.250, 0.250, 0.291) and Ag at (0.250, 0.750, 0.500).

The calculation puts the formation energy at 0.37 eV per formula unit. The total energy comes out at -1.40 eV/atom. The value obtained for the total magnetization is 0.00 μB/atom. As for the density of states at the Fermi level: 9.5 states/eV/cell.